A geometry-optimized CeSm2Zn structure, computed with GGA-PBE.

Computed properties:
E	-16.3	eV per formula unit
distance to the lowest polymorph of the same formula	199.0	meV per atom
formation energy	0.4	eV/f.u.
total magnetic moment	1.545	μB per formula unit
calculated density	7573	kg/m3

Unit cell a=5.3946 b=5.3946 c=5.3944 alpha=60.00 beta=60.00 gamma=60.00
Site moments in Bohr magnetons follow the coordinates.
Fractional coordinates of all 4 atoms:
1 Ce 0.4999 0.4999 0.5002  0.76
2 Sm 0.0000 0.0000 0.9999  0.13
3 Sm 0.2502 0.2502 0.2495  0.26
4 Zn 0.7499 0.7499 0.7503  -0.01